1.
CePrNd2P4: relaxed, PBE.

Results
- formation energy from the elements (meV per atom) = -1529
- uncorrected energy (eV per atom) = -6.765
- space-group type = No. 10

Unit cell a=7.193 b=4.155 c=7.196 alpha=90.00 beta=109.39 gamma=90.00
Sites, in units of the cell vectors:
Ce (0.000, 0.000, 0.000)
Pr (0.000, 0.500, 0.500)
Nd (0.500, 0.000, 0.500)
Nd (0.500, 0.500, 0.000)
P (0.245, 0.500, 0.244)
P (0.248, 0.000, 0.755)
P (0.752, 0.000, 0.245)
P (0.755, 0.500, 0.756)


2.
Pa3CoB7: relaxed, PBE.

Results
- formation energy from the elements (meV per atom) = -467
- uncorrected energy (eV per atom) = -7.952
- space-group type = No. 63

Unit cell a=8.124 b=8.124 c=9.409 alpha=90.00 beta=90.00 gamma=155.76
Sites, in units of the cell vectors:
Pa (0.106, 0.894, 0.564)
Pa (0.106, 0.894, 0.936)
Pa (0.249, 0.751, 0.250)
Pa (0.751, 0.249, 0.750)
Pa (0.894, 0.106, 0.064)
Pa (0.894, 0.106, 0.436)
Co (0.055, 0.945, 0.250)
Co (0.945, 0.055, 0.750)
B (0.274, 0.726, 0.533)
B (0.274, 0.726, 0.967)
B (0.368, 0.632, 0.653)
B (0.368, 0.632, 0.847)
B (0.465, 0.535, 0.250)
B (0.477, 0.523, 0.591)
B (0.477, 0.523, 0.909)
B (0.523, 0.477, 0.091)
B (0.523, 0.477, 0.409)
B (0.535, 0.465, 0.750)
B (0.632, 0.368, 0.153)
B (0.632, 0.368, 0.347)
B (0.726, 0.274, 0.033)
B (0.726, 0.274, 0.467)


3.
SmSnRh2: relaxed, PBE.

Results
- formation energy from the elements (meV per atom) = -677
- uncorrected energy (eV per atom) = -6.533
- space-group type = No. 123

Unit cell a=4.602 b=4.602 c=3.605 alpha=90.00 beta=90.00 gamma=90.00
Sites, in units of the cell vectors:
Sm (0.000, 0.000, 0.000)
Sn (0.500, 0.500, 0.000)
Rh (0.000, 0.500, 0.500)
Rh (0.500, 0.000, 0.500)


4.
HoIn3Rh4: relaxed, PBE.

Results
- formation energy from the elements (meV per atom) = -623
- uncorrected energy (eV per atom) = -5.898
- space-group type = No. 123

Unit cell a=4.543 b=4.543 c=6.789 alpha=90.00 beta=90.00 gamma=90.00
Sites, in units of the cell vectors:
Ho (0.000, 0.000, 0.000)
In (0.000, 0.000, 0.500)
In (0.500, 0.500, 0.000)
In (0.500, 0.500, 0.500)
Rh (0.000, 0.500, 0.260)
Rh (0.000, 0.500, 0.740)
Rh (0.500, 0.000, 0.260)
Rh (0.500, 0.000, 0.740)


5.
SmCdAgHg: relaxed, PBE.

Results
- formation energy from the elements (meV per atom) = -356
- uncorrected energy (eV per atom) = -2.553
- space-group type = No. 216

Unit cell a=7.165 b=7.165 c=7.165 alpha=90.00 beta=90.00 gamma=90.00
Sites, in units of the cell vectors:
Sm (0.000, 0.000, 0.000)
Sm (0.000, 0.500, 0.500)
Sm (0.500, 0.000, 0.500)
Sm (0.500, 0.500, 0.000)
Cd (0.000, 0.000, 0.500)
Cd (0.000, 0.500, 0.000)
Cd (0.500, 0.000, 0.000)
Cd (0.500, 0.500, 0.500)
Ag (0.250, 0.250, 0.250)
Ag (0.250, 0.750, 0.750)
Ag (0.750, 0.250, 0.750)
Ag (0.750, 0.750, 0.250)
Hg (0.250, 0.250, 0.750)
Hg (0.250, 0.750, 0.250)
Hg (0.750, 0.250, 0.250)
Hg (0.750, 0.750, 0.750)


6.
Ho2TmHg4: relaxed, PBE.

Results
- formation energy from the elements (meV per atom) = -336
- uncorrected energy (eV per atom) = -2.456
- space-group type = No. 166

Unit cell a=9.101 b=9.101 c=9.101 alpha=32.26 beta=32.26 gamma=32.26
Sites, in units of the cell vectors:
Ho (0.245, 0.245, 0.245)
Ho (0.755, 0.755, 0.755)
Tm (0.000, 0.000, 0.000)
Hg (0.127, 0.127, 0.127)
Hg (0.374, 0.374, 0.374)
Hg (0.626, 0.626, 0.626)
Hg (0.873, 0.873, 0.873)


7.
YInSe3: relaxed, PBE.

Results
- uncorrected formation energy (eV per atom) = -1.0543
- uncorrected energy (eV per atom) = -4.986
- space-group type = No. 11

Unit cell a=5.987 b=5.422 c=8.567 alpha=90.00 beta=100.66 gamma=90.00
Sites, in units of the cell vectors:
Y (0.182, 0.250, 0.100)
Y (0.818, 0.750, 0.900)
In (0.407, 0.250, 0.671)
In (0.593, 0.750, 0.329)
Se (0.016, 0.250, 0.760)
Se (0.341, 0.750, 0.019)
Se (0.476, 0.750, 0.622)
Se (0.524, 0.250, 0.378)
Se (0.659, 0.250, 0.981)
Se (0.984, 0.750, 0.240)


8.
SrLiCuHg2: relaxed, PBE.

Results
- formation energy from the elements (meV per atom) = -172
- uncorrected energy (eV per atom) = -1.831
- space-group type = No. 123

Unit cell a=5.123 b=5.123 c=4.816 alpha=90.00 beta=90.00 gamma=90.00
Sites, in units of the cell vectors:
Sr (0.000, 0.000, 0.000)
Li (0.500, 0.500, 0.000)
Cu (0.500, 0.500, 0.500)
Hg (0.000, 0.500, 0.500)
Hg (0.500, 0.000, 0.500)


9.
PrSF: relaxed, PBE.

Results
- uncorrected formation energy (eV per atom) = -2.6922
- uncorrected energy (eV per atom) = -6.285
- space-group type = No. 63

Unit cell a=4.091 b=14.757 c=4.480 alpha=90.00 beta=90.00 gamma=90.00
Sites, in units of the cell vectors:
Pr (0.000, 0.133, 0.250)
Pr (0.000, 0.867, 0.750)
Pr (0.500, 0.367, 0.750)
Pr (0.500, 0.633, 0.250)
S (0.000, 0.333, 0.250)
S (0.000, 0.667, 0.750)
S (0.500, 0.167, 0.750)
S (0.500, 0.833, 0.250)
F (0.000, 0.000, 0.000)
F (0.000, 0.000, 0.500)
F (0.500, 0.500, 0.000)
F (0.500, 0.500, 0.500)


10.
Pa2SbRu2: relaxed, PBE.

Results
- uncorrected formation energy (eV per atom) = -0.5758
- uncorrected energy (eV per atom) = -8.909
- space-group type = No. 71

Unit cell a=4.650 b=5.871 c=7.564 alpha=90.00 beta=90.00 gamma=90.00
Sites, in units of the cell vectors:
Pa (0.000, 0.000, 0.192)
Pa (0.000, 0.000, 0.808)
Pa (0.500, 0.500, 0.308)
Pa (0.500, 0.500, 0.692)
Sb (0.000, 0.500, 0.000)
Sb (0.500, 0.000, 0.500)
Ru (0.000, 0.256, 0.500)
Ru (0.000, 0.744, 0.500)
Ru (0.500, 0.244, 0.000)
Ru (0.500, 0.756, 0.000)